# 1
Density functional theory data (PBE) for crystalline Pr3GeRh8 at its relaxed geometry.

The space group is R3m (No. 160, hexagonal axes) and the conventional cell measures 5.4160, 5.4160 and 26.3460 Å, with angles of 90.00, 90.00 and 120.00 degrees. The inequivalent atoms are Pr at (0.0000, 0.0000, 0.0000), Pr at (0.0000, 0.0000, 0.1308), Pr at (0.0000, 0.0000, 0.5203), Ge at (0.0000, 0.0000, 0.6557), Rh at (0.0000, 0.0000, 0.3166), Rh at (0.0000, 0.0000, 0.8181), Rh at (0.0023, 0.5012, 0.0679) and Rh at (0.1670, 0.3339, 0.9020).

The value obtained for the uncorrected energy is -0.513 Ry/atom. The formation energy comes out at -47.97 kJ/mol of atoms. Its size of the total moment is 0.00 Bohr magnetons per cell.


# 2
Density functional theory data (PBE) for crystalline Tm4ScBi at its relaxed geometry.

The space group is P4/mmm (No. 123) and the conventional cell measures 5.085, 5.085 and 7.689 Å, with angles of 90.00, 90.00 and 90.00 degrees. The inequivalent atoms are Tm at (0.000, 0.500, 0.234), Sc at (0.000, 0.000, 0.000) and Bi at (0.500, 0.500, 0.500).

The value obtained for the uncorrected energy is -0.331 Ry/atom. The formation energy comes out at 17.58 kJ/mol of atoms. Its size of the total moment is 0.00 Bohr magnetons per cell.


# 3
Density functional theory data (PBE) for crystalline Zr2InP at its relaxed geometry.

The space group is P4/mmm (No. 123) and the conventional cell measures 3.953, 3.953 and 5.569 Å, with angles of 90.00, 90.00 and 90.00 degrees. The inequivalent atoms are Zr at (0.000, 0.000, 0.000), Zr at (0.500, 0.500, 0.500), In at (0.000, 0.000, 0.500) and P at (0.500, 0.500, 0.000).

The value obtained for the uncorrected energy is -0.502 Ry/atom. The formation energy comes out at -49.43 kJ/mol of atoms. The calculation puts the energy relative to the lowest polymorph listed for this composition at 0.339 eV/atom. Its size of the total moment is 0.00 Bohr magnetons per cell.


# 4
Density functional theory data (PBE) for crystalline Mn2Zn9Ni at its relaxed geometry.

The space group is P-1 (No. 2) and the conventional cell measures 4.631, 6.092 and 6.629 Å, with angles of 69.54, 88.80 and 74.68 degrees. The inequivalent atoms are Mn at (0.087, 0.248, 0.082), Zn at (0.157, 0.516, 0.670), Zn at (0.246, 0.759, 0.254), Zn at (0.322, 0.001, 0.828), Zn at (0.418, 0.241, 0.417), Zn at (0.500, 0.500, 0.000) and Ni at (0.000, 0.000, 0.500).

The value obtained for the uncorrected energy is -0.219 Ry/atom. The formation energy comes out at -1.07 kJ/mol of atoms. Its size of the total moment is 6.71 Bohr magnetons per cell.


# 5
Density functional theory data (PBE) for crystalline Cd4IrRh2 at its relaxed geometry.

The space group is I4/mmm (No. 139) and the conventional cell measures 5.092, 5.092 and 13.213 Å, with angles of 90.00, 90.00 and 90.00 degrees. The inequivalent atoms are Cd at (0.000, 0.000, 0.200), Cd at (0.000, 0.500, 0.000), Ir at (0.000, 0.000, 0.000) and Rh at (0.000, 0.000, 0.402).

The value obtained for the uncorrected energy is -0.236 Ry/atom. The formation energy comes out at 65.83 kJ/mol of atoms. Its size of the total moment is 1.62 Bohr magnetons per cell.


# 6
Density functional theory data (PBE) for crystalline TbCe2Os at its relaxed geometry.

The space group is R-3m (No. 166, hexagonal axes) and the conventional cell measures 3.7687, 3.7687 and 29.8799 Å, with angles of 90.00, 90.00 and 120.00 degrees. The inequivalent atoms are Tb at (0.0000, 0.0000, 0.0000), Ce at (0.0000, 0.0000, 0.1106) and Os at (0.0000, 0.0000, 0.5000).

The value obtained for the uncorrected energy is -0.492 Ry/atom. The formation energy comes out at 23.04 kJ/mol of atoms. The calculation puts the energy relative to the lowest polymorph listed for this composition at 0.386 eV/atom. Its size of the total moment is 1.98 Bohr magnetons per cell.


# 7
Density functional theory data (PBE) for crystalline Sr2CaAgPt at its relaxed geometry.

The space group is P4/mmm (No. 123) and the conventional cell measures 5.845, 5.845 and 5.495 Å, with angles of 90.00, 90.00 and 90.00 degrees. The inequivalent atoms are Sr at (0.000, 0.500, 0.000), Ca at (0.000, 0.000, 0.500), Ag at (0.500, 0.500, 0.500) and Pt at (0.000, 0.000, 0.000).

The value obtained for the uncorrected energy is -0.237 Ry/atom. The formation energy comes out at -36.45 kJ/mol of atoms. Its size of the total moment is 0.00 Bohr magnetons per cell.


# 8
Density functional theory data (PBE) for crystalline Sr2CaHo at its relaxed geometry.

The space group is R3m (No. 160, hexagonal axes) and the conventional cell measures 3.9266, 3.9266 and 39.2451 Å, with angles of 90.00, 90.00 and 120.00 degrees. The inequivalent atoms are Sr at (0.0000, 0.0000, 0.0000), Sr at (0.0000, 0.0000, 0.1749), Ca at (0.0000, 0.0000, 0.7539) and Ho at (0.0000, 0.0000, 0.5875).

The value obtained for the uncorrected energy is -0.171 Ry/atom. The formation energy comes out at 15.40 kJ/mol of atoms. The calculation puts the energy relative to the lowest polymorph listed for this composition at 0.002 eV/atom. Its size of the total moment is 3.26 Bohr magnetons per cell.


# 9
Density functional theory data (PBE) for crystalline Mg2ZnSi at its relaxed geometry.

The space group is C2/m (No. 12) and the conventional cell measures 8.677, 3.182 and 5.570 Å, with angles of 90.00, 101.92 and 90.00 degrees. The inequivalent atoms are Mg at (0.247, 0.000, 0.249), Zn at (0.000, 0.000, 0.500) and Si at (0.000, 0.500, 0.000).

The value obtained for the uncorrected energy is -0.176 Ry/atom. Its raw formation energy is 0.077 eV per atom. Its size of the total moment is 0.00 Bohr magnetons per cell.


# 10
Density functional theory data (PBE) for crystalline Li2CaAs at its relaxed geometry.

The space group is P4mm (No. 99) and the conventional cell measures 3.605, 3.605 and 6.985 Å, with angles of 90.00, 90.00 and 90.00 degrees. The inequivalent atoms are Li at (0.000, 0.000, 0.000), Li at (0.500, 0.500, 0.205), Ca at (0.500, 0.500, 0.624) and As at (0.000, 0.000, 0.377).

The value obtained for the uncorrected energy is -0.225 Ry/atom. The formation energy comes out at -42.27 kJ/mol of atoms. Its size of the total moment is 0.00 Bohr magnetons per cell.


# 11
Density functional theory data (PBE) for crystalline MnAl4 at its relaxed geometry.

The space group is Pm-3m (No. 221) and the conventional cell measures 4.567, 4.567 and 4.567 Å, with angles of 90.00, 90.00 and 90.00 degrees. The inequivalent atoms are Mn at (0.000, 0.000, 0.000), Al at (0.000, 0.000, 0.500) and Al at (0.500, 0.500, 0.500).

The value obtained for the uncorrected energy is -0.329 Ry/atom. The formation energy comes out at 34.48 kJ/mol of atoms. The calculation puts the energy relative to the lowest polymorph listed for this composition at 0.483 eV/atom. Its size of the total moment is 0.00 Bohr magnetons per cell.


# 12
Density functional theory data (PBE) for crystalline Nb3CuRe at its relaxed geometry.

The space group is Pm-3m (No. 221) and the conventional cell measures 4.843, 4.843 and 4.843 Å, with angles of 90.00, 90.00 and 90.00 degrees. The inequivalent atoms are Nb at (0.000, 0.000, 0.500), Cu at (0.500, 0.500, 0.500) and Re at (0.000, 0.000, 0.000).

The value obtained for the uncorrected energy is -0.590 Ry/atom. The formation energy comes out at 127.22 kJ/mol of atoms. The calculation puts the energy relative to the lowest polymorph listed for this composition at 0.000 eV/atom. Its size of the total moment is 0.00 Bohr magnetons per cell.


# 13
Density functional theory data (PBE) for crystalline CaMgRu at its relaxed geometry.

The space group is F-43m (No. 216) and the conventional cell measures 6.554, 6.554 and 6.554 Å, with angles of 90.00, 90.00 and 90.00 degrees. The inequivalent atoms are Ca at (0.000, 0.000, 0.000), Mg at (0.000, 0.000, 0.500) and Ru at (0.250, 0.250, 0.750).

The value obtained for the uncorrected energy is -0.285 Ry/atom. The formation energy comes out at 40.42 kJ/mol of atoms. Its size of the total moment is 0.01 Bohr magnetons per cell.


# 14
Density functional theory data (PBE) for crystalline PaSnBr6 at its relaxed geometry.

The space group is R-3 (No. 148, hexagonal axes) and the conventional cell measures 7.2480, 7.2480 and 19.8501 Å, with angles of 90.00, 90.00 and 120.00 degrees. The inequivalent atoms are Pa at (0.0000, 0.0000, 0.0000), Sn at (0.0000, 0.0000, 0.5000) and Br at (0.0027, 0.3205, 0.9188).

The value obtained for the uncorrected energy is -0.303 Ry/atom. Its raw formation energy is -1.181 eV per atom. The calculation puts the energy relative to the lowest polymorph listed for this composition at 0.013 eV/atom. Its size of the total moment is 3.02 Bohr magnetons per cell.